1.
## SrZn2H7 (PBE)

Data for a relaxed structure of SrZn2H7. Values from VASP.

Cell and atoms, written as Quantum ESPRESSO input:
```
&SYSTEM
  ibrav = 0, nat = 10, ntyp = 3
/
ATOMIC_SPECIES
Zn 65.41 Zn.upf
H 1.01 H.upf
Sr 87.62 Sr.upf
ATOMIC_POSITIONS angstrom
Zn 1.8048 2.9997 1.4014
Zn 1.8048 -0.0656 3.3102
H 0.0000 3.2016 1.2756
H 1.8048 1.2712 4.4840
H 1.8048 1.4670 2.3558
H 1.8048 -0.5293 1.5928
H 1.8048 3.4633 3.1189
H 0.0000 -0.2676 3.4360
H 1.8048 1.6629 0.2277
Sr 0.0000 0.0000 0.0000
CELL_PARAMETERS angstrom
3.6096 0.0000 0.0000
0.0000 5.5304 -0.1745
0.0000 -2.5963 4.8862
```

## Properties
VASP energy	-26.68	eV for the cell shown
crystal system	orthorhombic
density of states at the Fermi level	1.42	states/eV/cell
ρ	3.90	g cm⁻³
M_tot	0.000	μB per atom

***

2.
## SrZn3H9 (PBE)

Data for a relaxed structure of SrZn3H9. Values from VASP.

Cell and atoms, written as Quantum ESPRESSO input:
```
&SYSTEM
  ibrav = 0, nat = 26, ntyp = 3
/
ATOMIC_SPECIES
H 1.01 H.upf
Zn 65.41 Zn.upf
Sr 87.62 Sr.upf
ATOMIC_POSITIONS angstrom
H 2.9735 6.5234 3.3478
H 3.3714 3.9910 2.3614
H 1.0388 4.8872 2.0509
H 1.7684 2.7135 5.9563
H 2.9786 4.2921 4.8284
H 2.1612 2.4123 1.2335
H 4.1010 1.8172 5.6458
H 0.6900 4.4322 1.5440
H 2.1663 0.1811 6.9427
H 0.5421 6.6405 3.6926
H 4.4498 2.2722 5.1389
H 4.5977 0.0639 0.0977
H 6.2720 2.2479 3.4971
H 6.8645 0.0599 5.3923
H -1.7247 6.6446 1.7974
H 5.5275 4.5654 3.8419
H -1.1321 4.4566 7.0920
H -0.3877 2.1390 0.2470
Zn -0.9613 6.2052 3.4172
Zn 6.2420 0.6830 3.7725
Zn -1.1022 6.0214 0.1776
Zn 6.1011 0.4992 7.0121
Zn 3.8228 4.9865 3.5949
Zn 1.3170 1.7179 0.0000
Sr 1.8432 2.4043 3.5949
Sr 3.2966 4.3002 0.0000
CELL_PARAMETERS angstrom
7.1445 -0.1548 0.0000
-2.0047 6.8592 0.0000
0.0000 0.0000 7.1898
```

## Properties
VASP energy	-70.47	eV for the cell shown
crystal system	orthorhombic
ρ	2.78	g cm⁻³
M_tot	0.000	μB per atom

***

3.
## Sr4Zn2H (PBE)

Data for a relaxed structure of Sr4Zn2H. Values from VASP.

Cell and atoms, written as Quantum ESPRESSO input:
```
&SYSTEM
  ibrav = 0, nat = 7, ntyp = 3
/
ATOMIC_SPECIES
Sr 87.62 Sr.upf
Zn 65.41 Zn.upf
H 1.01 H.upf
ATOMIC_POSITIONS angstrom
Sr 5.1129 5.1129 3.1831
Sr 2.5565 0.0000 0.0000
Sr 0.0000 2.5565 0.0000
Sr 2.5565 2.5565 5.4808
Zn 2.5565 2.5565 2.1814
Zn 5.1129 5.1129 6.4825
H 0.0000 0.0000 0.0000
CELL_PARAMETERS angstrom
5.1129 0.0000 0.0000
0.0000 5.1129 0.0000
2.5565 2.5565 8.6639
```

## Properties
VASP energy	-13.65	eV for the cell shown
crystal system	tetragonal
density of states at the Fermi level	7.12	states/eV/cell
ρ	3.54	g cm⁻³
M_tot	0.000	μB per atom

***

4.
## SrZn2H (PBE)

Data for a relaxed structure of SrZn2H. Values from VASP.

Cell and atoms, written as Quantum ESPRESSO input:
```
&SYSTEM
  ibrav = 0, nat = 4, ntyp = 3
/
ATOMIC_SPECIES
Sr 87.62 Sr.upf
H 1.01 H.upf
Zn 65.41 Zn.upf
ATOMIC_POSITIONS angstrom
Sr 3.5888 3.5888 3.5888
H 0.0000 0.0000 0.0000
Zn 1.7944 1.7944 1.7944
Zn 5.3833 5.3833 5.3833
CELL_PARAMETERS angstrom
0.0000 3.5888 3.5888
3.5888 0.0000 3.5888
3.5888 3.5888 0.0000
```

## Properties
crystal system	cubic
density of states at the Fermi level	2.80	states/eV/cell
ρ	3.94	g cm⁻³
distance to the lowest polymorph of the same formula	330	meV per atom
M_tot	0.000	μB per atom

***

5.
## Sr2ZnH (PBE)

Data for a relaxed structure of Sr2ZnH. Values from VASP.

Cell and atoms, written as Quantum ESPRESSO input:
```
&SYSTEM
  ibrav = 0, nat = 4, ntyp = 3
/
ATOMIC_SPECIES
Sr 87.62 Sr.upf
H 1.01 H.upf
Zn 65.41 Zn.upf
ATOMIC_POSITIONS angstrom
Sr 2.0737 1.1973 2.1733
Sr 6.2212 3.5918 5.3372
H 4.1475 2.3945 3.7553
Zn 0.0000 0.0000 0.0000
CELL_PARAMETERS angstrom
4.1475 0.0000 0.0000
2.0737 3.5918 0.0000
2.0737 1.1973 7.5105
```

## Properties
crystal system	trigonal
density of states at the Fermi level	3.22	states/eV/cell
ρ	3.59	g cm⁻³
distance to the lowest polymorph of the same formula	14	meV per atom
M_tot	0.000	μB per atom

***

6.
## SrZn2H (PBE)

Data for a relaxed structure of SrZn2H. Values from VASP.

Cell and atoms, written as Quantum ESPRESSO input:
```
&SYSTEM
  ibrav = 0, nat = 8, ntyp = 3
/
ATOMIC_SPECIES
Sr 87.62 Sr.upf
Zn 65.41 Zn.upf
H 1.01 H.upf
ATOMIC_POSITIONS angstrom
Sr 0.0000 0.0000 0.0000
Sr 6.0216 3.0108 2.1321
Zn 3.0142 1.5054 1.0661
Zn 3.0075 4.5162 1.0661
Zn 4.5162 6.0183 3.1982
Zn 7.5270 6.0250 3.1982
H 3.0108 3.0108 0.0000
H 3.0108 6.0216 2.1321
CELL_PARAMETERS angstrom
6.0216 0.0000 0.0000
0.0000 6.0216 0.0000
3.0108 3.0108 4.2643
```

## Properties
crystal system	cubic
density of states at the Fermi level	5.17	states/eV/cell
ρ	4.71	g cm⁻³
distance to the lowest polymorph of the same formula	0	meV per atom
M_tot	0.000	μB per atom

***

7.
## Sr2ZnH2 (PBE)

Data for a relaxed structure of Sr2ZnH2. Values from VASP.

Cell and atoms, written as Quantum ESPRESSO input:
```
&SYSTEM
  ibrav = 0, nat = 10, ntyp = 3
/
ATOMIC_SPECIES
H 1.01 H.upf
Sr 87.62 Sr.upf
Zn 65.41 Zn.upf
ATOMIC_POSITIONS angstrom
H 0.9307 2.8457 0.0000
H 2.8457 6.6222 0.0000
H 6.6222 4.7072 0.0000
H 4.7072 0.9307 0.0000
Sr 6.1980 2.4215 1.7399
Sr 1.3550 5.1314 1.7399
Sr 2.4215 1.3550 1.7399
Sr 5.1314 6.1980 1.7399
Zn 3.7765 3.7765 0.0000
Zn 0.0000 0.0000 0.0000
CELL_PARAMETERS angstrom
7.5529 0.0000 0.0000
0.0000 7.5529 0.0000
0.0000 0.0000 3.4798
```

## Properties
crystal system	tetragonal
density of states at the Fermi level	2.79	states/eV/cell
ρ	4.06	g cm⁻³
distance to the lowest polymorph of the same formula	221	meV per atom
M_tot	0.000	μB per atom

***

8.
## Sr2Zn2H7 (PBE)

Data for a relaxed structure of Sr2Zn2H7. Values from VASP.

Cell and atoms, written as Quantum ESPRESSO input:
```
&SYSTEM
  ibrav = 0, nat = 11, ntyp = 3
/
ATOMIC_SPECIES
Sr 87.62 Sr.upf
H 1.01 H.upf
Zn 65.41 Zn.upf
ATOMIC_POSITIONS angstrom
Sr -3.6772 -1.6644 3.6620
Sr 0.2143 -1.8401 5.1255
H -2.2709 -0.6012 1.9194
H -2.0006 -0.8658 5.2160
H -1.4623 -2.6387 3.5715
H -3.8540 -2.7831 5.8670
H 0.0000 0.0000 0.0000
H -1.1919 -2.9033 6.8681
H 0.3912 -0.7214 2.9205
Zn -0.6725 -0.0748 1.7794
Zn -2.7903 -3.4297 7.0081
CELL_PARAMETERS angstrom
-0.7324 -4.1696 1.4469
2.7472 0.1468 5.2168
-5.4776 0.5183 2.1238
```

## Properties
VASP energy	-31.62	eV for the cell shown
crystal system	monoclinic
density of states at the Fermi level	2.83	states/eV/cell
ρ	3.50	g cm⁻³
M_tot	0.000	μB per atom

***

9.
## Sr2ZnH (PBE)

Data for a relaxed structure of Sr2ZnH. Values from VASP.

Cell and atoms, written as Quantum ESPRESSO input:
```
&SYSTEM
  ibrav = 0, nat = 4, ntyp = 3
/
ATOMIC_SPECIES
Zn 65.41 Zn.upf
H 1.01 H.upf
Sr 87.62 Sr.upf
ATOMIC_POSITIONS angstrom
Zn -4.0113 -2.3683 -0.6665
H -1.9371 0.9033 -1.4166
Sr -3.1582 -4.9814 1.1421
Sr -0.9901 -1.5618 0.3581
CELL_PARAMETERS angstrom
-2.9400 2.0163 0.6645
-0.9343 -0.2096 -3.4977
-4.1484 -6.5432 1.5002
```

## Properties
crystal system	tetragonal
density of states at the Fermi level	2.08	states/eV/cell
ρ	3.87	g cm⁻³
distance to the lowest polymorph of the same formula	127	meV per atom
M_tot	0.000	μB per atom

***

10.
## Sr2Zn2H (PBE)

Data for a relaxed structure of Sr2Zn2H. Values from VASP.

Cell and atoms, written as Quantum ESPRESSO input:
```
&SYSTEM
  ibrav = 0, nat = 10, ntyp = 3
/
ATOMIC_SPECIES
H 1.01 H.upf
Sr 87.62 Sr.upf
Zn 65.41 Zn.upf
ATOMIC_POSITIONS angstrom
H -2.6625 5.6860 1.9616
H -2.8958 -0.8230 1.0419
Sr -3.3561 3.6397 3.2876
Sr -2.2022 1.2234 -0.2841
Sr -3.1228 10.1487 4.2072
Sr -0.6737 6.5318 3.2869
Zn -1.7043 7.7533 6.2573
Zn -0.3370 3.2679 1.6444
Zn -1.0303 1.2176 2.9685
Zn -3.6927 6.9036 4.9300
CELL_PARAMETERS angstrom
-4.1910 0.3776 -1.6094
-1.6006 -2.0236 3.6933
1.7619 11.8174 4.4906
```

## Properties
VASP energy	-21.13	eV for the cell shown
crystal system	tetragonal
density of states at the Fermi level	3.85	states/eV/cell
ρ	4.06	g cm⁻³
M_tot	0.000	μB per atom

***

11.
## Sr2ZnH (PBE)

Data for a relaxed structure of Sr2ZnH. Values from VASP.

Cell and atoms, written as Quantum ESPRESSO input:
```
&SYSTEM
  ibrav = 0, nat = 4, ntyp = 3
/
ATOMIC_SPECIES
Sr 87.62 Sr.upf
Zn 65.41 Zn.upf
H 1.01 H.upf
ATOMIC_POSITIONS angstrom
Sr -1.7348 5.0837 3.7627
Sr -1.4450 2.4658 0.1229
Zn -2.9317 5.3080 0.7692
H -4.5160 9.0314 2.6406
CELL_PARAMETERS angstrom
-0.3419 3.2813 -2.3874
-3.6778 1.2674 -1.2044
-1.8392 6.0263 5.0732
```

## Properties
crystal system	trigonal
density of states at the Fermi level	3.14	states/eV/cell
ρ	3.61	g cm⁻³
distance to the lowest polymorph of the same formula	34	meV per atom
M_tot	0.001	μB per atom

***

12.
## Sr2ZnH (PBE)

Data for a relaxed structure of Sr2ZnH. Values from VASP.

Cell and atoms, written as Quantum ESPRESSO input:
```
&SYSTEM
  ibrav = 0, nat = 4, ntyp = 3
/
ATOMIC_SPECIES
Zn 65.41 Zn.upf
H 1.01 H.upf
Sr 87.62 Sr.upf
ATOMIC_POSITIONS angstrom
Zn -1.8974 0.8534 6.2499
H 0.0000 0.0000 0.0000
Sr -0.9487 0.4267 3.1250
Sr -2.8462 1.2801 9.3749
CELL_PARAMETERS angstrom
-1.8651 -2.4688 4.3992
1.5573 1.6527 4.8754
-3.4871 2.5229 3.2252
```

## Properties
crystal system	cubic
density of states at the Fermi level	5.73	states/eV/cell
ρ	3.65	g cm⁻³
distance to the lowest polymorph of the same formula	246	meV per atom
M_tot	0.000	μB per atom

***

13.
## SrZr2ZnH (PBE)

Data for a relaxed structure of SrZr2ZnH. Values from VASP.

Cell and atoms, written as Quantum ESPRESSO input:
```
&SYSTEM
  ibrav = 0, nat = 5, ntyp = 4
/
ATOMIC_SPECIES
Zn 65.41 Zn.upf
Zr 91.22 Zr.upf
Sr 87.62 Sr.upf
H 1.01 H.upf
ATOMIC_POSITIONS angstrom
Zn 0.0000 0.0000 0.0000
Zr 2.5197 0.0000 0.0000
Zr 0.0000 0.0000 2.5197
Sr 0.0000 3.0893 0.0000
H 2.5197 3.0893 2.5197
CELL_PARAMETERS angstrom
5.0393 0.0000 0.0000
0.0000 6.1785 0.0000
0.0000 0.0000 5.0393
```

## Properties
VASP energy	-18.12	eV for the cell shown
crystal system	tetragonal
density of states at the Fermi level	4.52	states/eV/cell
ρ	3.56	g cm⁻³
M_tot	0.487	μB per atom

***

14.
## SrZrH2 (PBE)

Data for a relaxed structure of SrZrH2. Values from VASP.

Cell and atoms, written as Quantum ESPRESSO input:
```
&SYSTEM
  ibrav = 0, nat = 4, ntyp = 3
/
ATOMIC_SPECIES
Zr 91.22 Zr.upf
Sr 87.62 Sr.upf
H 1.01 H.upf
ATOMIC_POSITIONS angstrom
Zr -0.8715 -2.7778 -4.6311
Sr 0.0000 0.0000 0.0000
H -1.3072 -4.1667 -6.9466
H -0.4357 -1.3889 -2.3155
CELL_PARAMETERS angstrom
-0.0016 -4.0533 -1.8760
-3.0175 -1.0088 -3.1345
1.2761 -0.4935 -4.2516
```

## Properties
crystal system	cubic
density of states at the Fermi level	5.28	states/eV/cell
ρ	4.77	g cm⁻³
distance to the lowest polymorph of the same formula	758	meV per atom
M_tot	0.000	μB per atom

***

15.
## Sr3ZrH (PBE)

Data for a relaxed structure of Sr3ZrH. Values from VASP.

Cell and atoms, written as Quantum ESPRESSO input:
```
&SYSTEM
  ibrav = 0, nat = 5, ntyp = 3
/
ATOMIC_SPECIES
H 1.01 H.upf
Sr 87.62 Sr.upf
Zr 91.22 Zr.upf
ATOMIC_POSITIONS angstrom
H 0.0000 0.0000 0.0000
Sr 2.7123 0.0000 0.0000
Sr 0.0000 0.0000 2.7123
Sr 0.0000 2.7123 0.0000
Zr 2.7123 2.7123 2.7123
CELL_PARAMETERS angstrom
5.4245 0.0000 0.0000
0.0000 5.4245 0.0000
0.0000 0.0000 5.4245
```

## Properties
crystal system	cubic
density of states at the Fermi level	4.97	states/eV/cell
ρ	3.69	g cm⁻³
distance to the lowest polymorph of the same formula	0	meV per atom
M_tot	0.510	μB per atom

***

16.
## SrZr2H (PBE)

Data for a relaxed structure of SrZr2H. Values from VASP.

Cell and atoms, written as Quantum ESPRESSO input:
```
&SYSTEM
  ibrav = 0, nat = 8, ntyp = 3
/
ATOMIC_SPECIES
Sr 87.62 Sr.upf
Zr 91.22 Zr.upf
H 1.01 H.upf
ATOMIC_POSITIONS angstrom
Sr 6.5139 3.2569 2.3092
Sr 0.0000 0.0000 0.0000
Zr 3.2439 1.6285 1.1546
Zr 8.1424 6.5009 3.4639
Zr 3.2700 4.8854 1.1546
Zr 4.8854 6.5269 3.4639
H 3.2569 6.5139 2.3092
H 3.2569 3.2569 0.0000
CELL_PARAMETERS angstrom
6.5139 0.0000 0.0000
0.0000 6.5139 0.0000
3.2569 3.2569 4.6185
```

## Properties
crystal system	tetragonal
density of states at the Fermi level	11.94	states/eV/cell
ρ	4.59	g cm⁻³
distance to the lowest polymorph of the same formula	0	meV per atom
M_tot	0.141	μB per atom

***

17.
## SrZr2H2 (PBE)

Data for a relaxed structure of SrZr2H2. Values from VASP.

Cell and atoms, written as Quantum ESPRESSO input:
```
&SYSTEM
  ibrav = 0, nat = 10, ntyp = 3
/
ATOMIC_SPECIES
H 1.01 H.upf
Sr 87.62 Sr.upf
Zr 91.22 Zr.upf
ATOMIC_POSITIONS angstrom
H 2.5163 -1.3824 -1.5010
H 0.3938 -4.4792 1.1249
H 5.5362 -4.5670 -2.8158
H 3.4137 -7.6639 -0.1899
Sr 0.0000 0.0000 0.0000
Sr 2.9650 -4.5231 -0.8455
Zr 1.6150 -2.5603 1.6403
Zr 4.8041 -1.6254 -1.1192
Zr 6.1973 -5.7079 -0.8922
Zr 3.0082 -6.6428 1.8673
CELL_PARAMETERS angstrom
-0.2998 -7.2998 2.5599
6.2298 -1.7465 -4.2508
1.8823 0.7780 2.4390
```

## Properties
crystal system	tetragonal
density of states at the Fermi level	10.23	states/eV/cell
ρ	4.75	g cm⁻³
distance to the lowest polymorph of the same formula	481	meV per atom
M_tot	0.000	μB per atom

***

18.
## Sr2Zr2H (PBE)

Data for a relaxed structure of Sr2Zr2H. Values from VASP.

Cell and atoms, written as Quantum ESPRESSO input:
```
&SYSTEM
  ibrav = 0, nat = 5, ntyp = 3
/
ATOMIC_SPECIES
Sr 87.62 Sr.upf
H 1.01 H.upf
Zr 91.22 Zr.upf
ATOMIC_POSITIONS angstrom
Sr -4.5280 -7.6692 4.0493
Sr -2.0967 -2.5980 0.2498
H 0.0000 0.0000 0.0000
Zr -2.3209 -5.9816 1.6522
Zr -4.3038 -4.2856 2.6469
CELL_PARAMETERS angstrom
-3.9372 0.1505 -0.2663
0.0287 -3.2414 -2.2557
-2.7162 -7.1764 6.8210
```

## Properties
crystal system	tetragonal
density of states at the Fermi level	4.41	states/eV/cell
ρ	3.87	g cm⁻³
distance to the lowest polymorph of the same formula	0	meV per atom
M_tot	0.000	μB per atom

***

19.
## Sr3ZrH (PBE)

Data for a relaxed structure of Sr3ZrH. Values from VASP.

Cell and atoms, written as Quantum ESPRESSO input:
```
&SYSTEM
  ibrav = 0, nat = 5, ntyp = 3
/
ATOMIC_SPECIES
Sr 87.62 Sr.upf
H 1.01 H.upf
Zr 91.22 Zr.upf
ATOMIC_POSITIONS angstrom
Sr -0.4822 -2.5584 1.9052
Sr -2.5379 1.4750 1.3384
Sr 1.9325 1.2987 2.2331
H -1.0877 0.2153 5.4768
Zr 0.0000 0.0000 0.0000
CELL_PARAMETERS angstrom
-5.0759 2.9501 2.6767
-0.9645 -5.1169 3.8105
3.8649 2.5975 4.4663
```

## Properties
crystal system	cubic
density of states at the Fermi level	3.59	states/eV/cell
ρ	2.20	g cm⁻³
distance to the lowest polymorph of the same formula	904	meV per atom
M_tot	0.649	μB per atom

***

20.
## Sr2Zr2H (PBE)

Data for a relaxed structure of Sr2Zr2H. Values from VASP.

Cell and atoms, written as Quantum ESPRESSO input:
```
&SYSTEM
  ibrav = 0, nat = 10, ntyp = 3
/
ATOMIC_SPECIES
Zr 91.22 Zr.upf
Sr 87.62 Sr.upf
H 1.01 H.upf
ATOMIC_POSITIONS angstrom
Zr 5.4744 2.2562 3.2703
Zr 2.2562 0.9620 3.2703
Zr 4.1801 5.4744 3.2703
Zr 0.9620 4.1801 3.2703
Sr 4.4795 1.2613 0.0000
Sr 1.2613 1.9569 0.0000
Sr 5.1751 4.4795 0.0000
Sr 1.9569 5.1751 0.0000
H 3.2182 3.2182 0.0000
H 0.0000 0.0000 0.0000
CELL_PARAMETERS angstrom
6.4364 0.0000 0.0000
0.0000 6.4364 0.0000
0.0000 0.0000 6.5405
```

## Properties
crystal system	tetragonal
density of states at the Fermi level	7.35	states/eV/cell
ρ	4.40	g cm⁻³
distance to the lowest polymorph of the same formula	100	meV per atom
M_tot	0.000	μB per atom